Entry 1:
# ZrCoCu PBE-GGA optimized geometry
data_ZrCoCu
_chemical_formula_sum 'Zr2 Co2 Cu2'
_cell_length_a 3.295
_cell_length_b 3.295
_cell_length_c 8.310
_cell_angle_alpha 90.00
_cell_angle_beta 90.00
_cell_angle_gamma 90.00
_space_group_name_H-M_alt 'P 1'
_space_group_IT_number 1
loop_
_space_group_symop_operation_xyz
'x,y,z'
loop_
_atom_site_label
_atom_site_type_symbol
_atom_site_fract_x
_atom_site_fract_y
_atom_site_fract_z
Zr1 Zr 0.000 0.000 0.000
Zr2 Zr 0.500 0.500 0.500
Co1 Co 0.000 0.000 0.338
Co2 Co 0.500 0.500 0.838
Cu1 Cu 0.000 0.000 0.679
Cu2 Cu 0.500 0.500 0.179
# energy of formation: -142 meV per atom

***

Entry 2:
# KSr3Ir PBE-GGA optimized geometry
data_KSr3Ir
_chemical_formula_sum 'K2 Sr6 Ir2'
_cell_length_a 7.036
_cell_length_b 8.132
_cell_length_c 7.887
_cell_angle_alpha 90.00
_cell_angle_beta 97.97
_cell_angle_gamma 90.00
_space_group_name_H-M_alt 'P 1'
_space_group_IT_number 1
loop_
_space_group_symop_operation_xyz
'x,y,z'
loop_
_atom_site_label
_atom_site_type_symbol
_atom_site_fract_x
_atom_site_fract_y
_atom_site_fract_z
K1 K 0.080 0.250 0.394
K2 K 0.920 0.750 0.606
Sr1 Sr 0.081 0.750 0.132
Sr2 Sr 0.440 0.505 0.727
Sr3 Sr 0.440 0.995 0.727
Sr4 Sr 0.560 0.005 0.273
Sr5 Sr 0.560 0.495 0.273
Sr6 Sr 0.919 0.250 0.868
Ir1 Ir 0.353 0.750 0.441
Ir2 Ir 0.647 0.250 0.559
# energy of formation: 34 meV per atom

***

Entry 3:
# Sm3Al4Zn2 PBE-GGA optimized geometry
data_Sm3Al4Zn2
_chemical_formula_sum 'Sm3 Al4 Zn2'
_cell_length_a 5.866
_cell_length_b 5.866
_cell_length_c 8.687
_cell_angle_alpha 109.76
_cell_angle_beta 109.76
_cell_angle_gamma 45.51
_space_group_name_H-M_alt 'P 1'
_space_group_IT_number 1
loop_
_space_group_symop_operation_xyz
'x,y,z'
loop_
_atom_site_label
_atom_site_type_symbol
_atom_site_fract_x
_atom_site_fract_y
_atom_site_fract_z
Sm1 Sm 0.000 0.000 0.000
Sm2 Sm 0.332 0.332 0.336
Sm3 Sm 0.668 0.668 0.664
Al1 Al 0.050 0.050 0.382
Al2 Al 0.274 0.274 0.937
Al3 Al 0.726 0.726 0.063
Al4 Al 0.950 0.950 0.618
Zn1 Zn 0.390 0.390 0.722
Zn2 Zn 0.610 0.610 0.278
# energy of formation: -460 meV per atom

***

Entry 4:
# LiNpU2N5 PBE-GGA optimized geometry
data_LiNpU2N5
_chemical_formula_sum 'Li2 Np2 U4 N10'
_cell_length_a 6.478
_cell_length_b 6.478
_cell_length_c 6.172
_cell_angle_alpha 90.00
_cell_angle_beta 90.00
_cell_angle_gamma 90.00
_space_group_name_H-M_alt 'P 1'
_space_group_IT_number 1
loop_
_space_group_symop_operation_xyz
'x,y,z'
loop_
_atom_site_label
_atom_site_type_symbol
_atom_site_fract_x
_atom_site_fract_y
_atom_site_fract_z
Li1 Li 0.000 0.000 0.000
Li2 Li 0.500 0.500 0.000
Np1 Np 0.000 0.500 0.000
Np2 Np 0.500 0.000 0.000
U1 U 0.175 0.325 0.500
U2 U 0.325 0.825 0.500
U3 U 0.675 0.175 0.500
U4 U 0.825 0.675 0.500
N1 N 0.000 0.000 0.500
N2 N 0.151 0.651 0.256
N3 N 0.151 0.651 0.744
N4 N 0.349 0.151 0.256
N5 N 0.349 0.151 0.744
N6 N 0.500 0.500 0.500
N7 N 0.651 0.849 0.256
N8 N 0.651 0.849 0.744
N9 N 0.849 0.349 0.256
N10 N 0.849 0.349 0.744
# raw formation energy: -0.8153 eV/atom

***

Entry 5:
# MgReIr PBE-GGA optimized geometry
data_MgReIr
_chemical_formula_sum 'Mg2 Re2 Ir2'
_cell_length_a 2.793
_cell_length_b 3.920
_cell_length_c 8.646
_cell_angle_alpha 90.00
_cell_angle_beta 90.00
_cell_angle_gamma 90.00
_space_group_name_H-M_alt 'P 1'
_space_group_IT_number 1
loop_
_space_group_symop_operation_xyz
'x,y,z'
loop_
_atom_site_label
_atom_site_type_symbol
_atom_site_fract_x
_atom_site_fract_y
_atom_site_fract_z
Mg1 Mg 0.250 0.250 0.101
Mg2 Mg 0.750 0.750 0.899
Re1 Re 0.250 0.250 0.431
Re2 Re 0.750 0.750 0.569
Ir1 Ir 0.250 0.250 0.739
Ir2 Ir 0.750 0.750 0.261
# energy of formation: -63 meV per atom

***

Entry 6:
# AcSm6Y4 PBE-GGA optimized geometry
data_AcSm6Y4
_chemical_formula_sum 'Ac2 Sm12 Y8'
_cell_length_a 5.744
_cell_length_b 5.744
_cell_length_c 25.937
_cell_angle_alpha 90.00
_cell_angle_beta 90.00
_cell_angle_gamma 117.66
_space_group_name_H-M_alt 'P 1'
_space_group_IT_number 1
loop_
_space_group_symop_operation_xyz
'x,y,z'
loop_
_atom_site_label
_atom_site_type_symbol
_atom_site_fract_x
_atom_site_fract_y
_atom_site_fract_z
Ac1 Ac 0.215 0.785 0.750
Ac2 Ac 0.785 0.215 0.250
Sm1 Sm 0.121 0.879 0.180
Sm2 Sm 0.121 0.879 0.320
Sm3 Sm 0.201 0.799 0.598
Sm4 Sm 0.201 0.799 0.902
Sm5 Sm 0.444 0.556 0.250
Sm6 Sm 0.500 0.500 0.000
Sm7 Sm 0.500 0.500 0.500
Sm8 Sm 0.556 0.444 0.750
Sm9 Sm 0.799 0.201 0.098
Sm10 Sm 0.799 0.201 0.402
Sm11 Sm 0.879 0.121 0.680
Sm12 Sm 0.879 0.121 0.820
Y1 Y 0.150 0.850 0.043
Y2 Y 0.150 0.850 0.457
Y3 Y 0.456 0.544 0.123
Y4 Y 0.456 0.544 0.377
Y5 Y 0.544 0.456 0.623
Y6 Y 0.544 0.456 0.877
Y7 Y 0.850 0.150 0.543
Y8 Y 0.850 0.150 0.957
# energy of formation: 130 meV per atom

***

Entry 7:
# Na7Hg12Bi PBE-GGA optimized geometry
data_Na7Hg12Bi
_chemical_formula_sum 'Na7 Hg12 Bi1'
_cell_length_a 10.122
_cell_length_b 10.122
_cell_length_c 10.122
_cell_angle_alpha 115.02
_cell_angle_beta 115.02
_cell_angle_gamma 115.02
_space_group_name_H-M_alt 'P 1'
_space_group_IT_number 1
loop_
_space_group_symop_operation_xyz
'x,y,z'
loop_
_atom_site_label
_atom_site_type_symbol
_atom_site_fract_x
_atom_site_fract_y
_atom_site_fract_z
Na1 Na 0.000 0.000 0.000
Na2 Na 0.074 0.716 0.716
Na3 Na 0.284 0.284 0.926
Na4 Na 0.284 0.926 0.284
Na5 Na 0.716 0.074 0.716
Na6 Na 0.716 0.716 0.074
Na7 Na 0.926 0.284 0.284
Hg1 Hg 0.174 0.174 0.453
Hg2 Hg 0.174 0.453 0.174
Hg3 Hg 0.232 0.500 0.768
Hg4 Hg 0.232 0.768 0.500
Hg5 Hg 0.453 0.174 0.174
Hg6 Hg 0.500 0.232 0.768
Hg7 Hg 0.500 0.768 0.232
Hg8 Hg 0.547 0.826 0.826
Hg9 Hg 0.768 0.232 0.500
Hg10 Hg 0.768 0.500 0.232
Hg11 Hg 0.826 0.547 0.826
Hg12 Hg 0.826 0.826 0.547
Bi1 Bi 0.500 0.500 0.500
# energy of formation: -181 meV per atom

***

Entry 8:
# Tl2Fe2Rh PBE-GGA optimized geometry
data_Tl2Fe2Rh
_chemical_formula_sum 'Tl4 Fe4 Rh2'
_cell_length_a 5.147
_cell_length_b 5.147
_cell_length_c 7.287
_cell_angle_alpha 90.00
_cell_angle_beta 90.00
_cell_angle_gamma 90.00
_space_group_name_H-M_alt 'P 1'
_space_group_IT_number 1
loop_
_space_group_symop_operation_xyz
'x,y,z'
loop_
_atom_site_label
_atom_site_type_symbol
_atom_site_fract_x
_atom_site_fract_y
_atom_site_fract_z
Tl1 Tl 0.000 0.500 0.250
Tl2 Tl 0.000 0.500 0.750
Tl3 Tl 0.500 0.000 0.250
Tl4 Tl 0.500 0.000 0.750
Fe1 Fe 0.000 0.000 0.154
Fe2 Fe 0.000 0.000 0.846
Fe3 Fe 0.500 0.500 0.346
Fe4 Fe 0.500 0.500 0.654
Rh1 Rh 0.000 0.000 0.500
Rh2 Rh 0.500 0.500 0.000
# energy of formation: 787 meV per atom

***

Entry 9:
# Mn5V4Ru PBE-GGA optimized geometry
data_Mn5V4Ru
_chemical_formula_sum 'Mn5 V4 Ru1'
_cell_length_a 2.865
_cell_length_b 2.865
_cell_length_c 14.616
_cell_angle_alpha 90.00
_cell_angle_beta 90.00
_cell_angle_gamma 90.00
_space_group_name_H-M_alt 'P 1'
_space_group_IT_number 1
loop_
_space_group_symop_operation_xyz
'x,y,z'
loop_
_atom_site_label
_atom_site_type_symbol
_atom_site_fract_x
_atom_site_fract_y
_atom_site_fract_z
Mn1 Mn 0.000 0.000 0.000
Mn2 Mn 0.000 0.000 0.197
Mn3 Mn 0.000 0.000 0.389
Mn4 Mn 0.000 0.000 0.611
Mn5 Mn 0.000 0.000 0.803
V1 V 0.500 0.500 0.098
V2 V 0.500 0.500 0.295
V3 V 0.500 0.500 0.705
V4 V 0.500 0.500 0.902
Ru1 Ru 0.500 0.500 0.500
# energy of formation: -159 meV per atom

***

Entry 10:
# TaBe2W PBE-GGA optimized geometry
data_TaBe2W
_chemical_formula_sum 'Ta2 Be4 W2'
_cell_length_a 5.464
_cell_length_b 6.952
_cell_length_c 2.733
_cell_angle_alpha 90.00
_cell_angle_beta 95.18
_cell_angle_gamma 90.00
_space_group_name_H-M_alt 'P 1'
_space_group_IT_number 1
loop_
_space_group_symop_operation_xyz
'x,y,z'
loop_
_atom_site_label
_atom_site_type_symbol
_atom_site_fract_x
_atom_site_fract_y
_atom_site_fract_z
Ta1 Ta 0.000 0.000 0.000
Ta2 Ta 0.500 0.500 0.000
Be1 Be 0.250 0.250 0.500
Be2 Be 0.250 0.750 0.500
Be3 Be 0.750 0.250 0.500
Be4 Be 0.750 0.750 0.500
W1 W 0.000 0.500 0.000
W2 W 0.500 0.000 0.000
# energy of formation: 88 meV per atom

***

Entry 11:
# Mg2Tl2Cd PBE-GGA optimized geometry
data_Mg2Tl2Cd
_chemical_formula_sum 'Mg4 Tl4 Cd2'
_cell_length_a 4.333
_cell_length_b 4.333
_cell_length_c 14.890
_cell_angle_alpha 90.00
_cell_angle_beta 90.00
_cell_angle_gamma 90.00
_space_group_name_H-M_alt 'P 1'
_space_group_IT_number 1
loop_
_space_group_symop_operation_xyz
'x,y,z'
loop_
_atom_site_label
_atom_site_type_symbol
_atom_site_fract_x
_atom_site_fract_y
_atom_site_fract_z
Mg1 Mg 0.000 0.500 0.250
Mg2 Mg 0.000 0.500 0.750
Mg3 Mg 0.500 0.000 0.250
Mg4 Mg 0.500 0.000 0.750
Tl1 Tl 0.000 0.000 0.102
Tl2 Tl 0.000 0.000 0.898
Tl3 Tl 0.500 0.500 0.398
Tl4 Tl 0.500 0.500 0.602
Cd1 Cd 0.000 0.000 0.500
Cd2 Cd 0.500 0.500 0.000
# energy of formation: 157 meV per atom